# Li2H2SI2, optimized geometry, DFT PBE
# * ρ: 3.176 g cm⁻³
# * energy: -21.53 eV for the cell shown
data_Li2H2SI2
_cell_length_a 4.0687
_cell_length_b 6.6952
_cell_length_c 6.7011
_cell_angle_alpha 66.95
_cell_angle_beta 73.29
_cell_angle_gamma 73.49
_symmetry_space_group_name_H-M 'P -1'
_symmetry_Int_Tables_number 2
_symmetry_space_group_name_Hall '-P 1'
loop_
_atom_site_label
_atom_site_type_symbol
_atom_site_fract_x
_atom_site_fract_y
_atom_site_fract_z
Li1 Li 0.0004 0.2128 0.2882
H1 H 0.4043 0.1522 0.6529
S1 S 0.5000 0.0000 0.5000
I1 I 0.3495 0.3319 0.8320

---

# LiHS2I, optimized geometry, DFT PBE
# * ρ: 3.150 g cm⁻³
# * energy: -13.69 eV for the cell shown
data_LiHS2I
_cell_length_a 5.2144
_cell_length_b 5.2144
_cell_length_c 3.8578
_cell_angle_alpha 90.00
_cell_angle_beta 90.00
_cell_angle_gamma 90.00
_symmetry_space_group_name_H-M 'P 4/m m m'
_symmetry_Int_Tables_number 123
_symmetry_space_group_name_Hall '-P 4 2'
loop_
_atom_site_label
_atom_site_type_symbol
_atom_site_fract_x
_atom_site_fract_y
_atom_site_fract_z
Li1 Li 0.0000 0.0000 0.0000
H1 H 0.5000 0.5000 0.0000
S1 S 0.0000 0.5000 0.5000
I1 I 0.5000 0.5000 0.5000

---

# LiSb2HI, optimized geometry, DFT PBE
# * offset from the most stable computed form: 0.000 eV/atom
# * ρ: 4.129 g cm⁻³
# * energy: -14.84 eV for the cell shown
data_LiSb2HI
_cell_length_a 4.2892
_cell_length_b 4.2892
_cell_length_c 8.2705
_cell_angle_alpha 90.00
_cell_angle_beta 90.00
_cell_angle_gamma 90.00
_symmetry_space_group_name_H-M 'P 4/m m m'
_symmetry_Int_Tables_number 123
_symmetry_space_group_name_Hall '-P 4 2'
loop_
_atom_site_label
_atom_site_type_symbol
_atom_site_fract_x
_atom_site_fract_y
_atom_site_fract_z
Li1 Li 0.0000 0.0000 0.0000
Sb1 Sb 0.0000 0.5000 0.5000
H1 H 0.5000 0.5000 0.5000
I1 I 0.5000 0.5000 0.0000

---

# LiSb2HI, optimized geometry, DFT PBE
# * offset from the most stable computed form: 0.647 eV/atom
# * ρ: 4.446 g cm⁻³
# * energy: -11.60 eV for the cell shown
data_LiSb2HI
_cell_length_a 5.0210
_cell_length_b 5.0210
_cell_length_c 5.6054
_cell_angle_alpha 90.00
_cell_angle_beta 90.00
_cell_angle_gamma 90.00
_symmetry_space_group_name_H-M 'P 4/m m m'
_symmetry_Int_Tables_number 123
_symmetry_space_group_name_Hall '-P 4 2'
loop_
_atom_site_label
_atom_site_type_symbol
_atom_site_fract_x
_atom_site_fract_y
_atom_site_fract_z
Li1 Li 0.0000 0.0000 0.0000
Sb1 Sb 0.0000 0.5000 0.0000
H1 H 0.5000 0.5000 0.5000
I1 I 0.0000 0.0000 0.5000

---

# LiTcSbHI, optimized geometry, DFT PBE
# * offset from the most stable computed form: 0.177 eV/atom
# * ρ: 5.746 g cm⁻³
# * energy: -21.22 eV for the cell shown
data_LiTcSbHI
_cell_length_a 3.1349
_cell_length_b 3.6265
_cell_length_c 9.9796
_cell_angle_alpha 88.38
_cell_angle_beta 89.99
_cell_angle_gamma 64.66
_symmetry_space_group_name_H-M 'P 1'
_symmetry_Int_Tables_number 1
_symmetry_space_group_name_Hall 'P 1'
loop_
_atom_site_label
_atom_site_type_symbol
_atom_site_fract_x
_atom_site_fract_y
_atom_site_fract_z
Li1 Li 0.0000 0.0000 0.0000
Tc1 Tc 0.7187 0.5574 0.7762
Sb1 Sb 0.4030 0.1830 0.5967
H1 H 0.2394 0.5162 0.8787
I1 I 0.7001 0.5937 0.1938

---

# LiTcSbHI, optimized geometry, DFT PBE
# * offset from the most stable computed form: 0.064 eV/atom
# * ρ: 5.886 g cm⁻³
# * energy: -43.56 eV for the cell shown
data_LiTcSbHI
_cell_length_a 5.2359
_cell_length_b 5.2357
_cell_length_c 7.7421
_cell_angle_alpha 90.00
_cell_angle_beta 109.48
_cell_angle_gamma 90.00
_symmetry_space_group_name_H-M 'C 1 m 1'
_symmetry_Int_Tables_number 8
_symmetry_space_group_name_Hall 'C -2y'
loop_
_atom_site_label
_atom_site_type_symbol
_atom_site_fract_x
_atom_site_fract_y
_atom_site_fract_z
Li1 Li 0.0000 0.0000 0.0000
Tc1 Tc 0.1438 0.5000 0.2958
Sb1 Sb 0.1900 0.0000 0.3896
H1 H 0.2550 0.5000 0.5229
I1 I 0.4415 0.0000 0.8826

---

# LiTcSbHI, optimized geometry, DFT PBE
# * offset from the most stable computed form: 0.034 eV/atom
# * ρ: 5.059 g cm⁻³
# * energy: -21.93 eV for the cell shown
data_LiTcSbHI
_cell_length_a 4.2689
_cell_length_b 4.2876
_cell_length_c 7.3585
_cell_angle_alpha 97.20
_cell_angle_beta 101.83
_cell_angle_gamma 114.64
_symmetry_space_group_name_H-M 'P 1'
_symmetry_Int_Tables_number 1
_symmetry_space_group_name_Hall 'P 1'
loop_
_atom_site_label
_atom_site_type_symbol
_atom_site_fract_x
_atom_site_fract_y
_atom_site_fract_z
Li1 Li 0.0000 0.0000 0.0000
Tc1 Tc 0.6557 0.8966 0.5771
Sb1 Sb 0.0269 0.5678 0.6237
H1 H 0.7003 0.0628 0.8040
I1 I 0.4414 0.7220 0.1729

---

# LiTcSbHI, optimized geometry, DFT PBE
# * offset from the most stable computed form: 0.043 eV/atom
# * ρ: 5.272 g cm⁻³
# * energy: -21.89 eV for the cell shown
data_LiTcSbHI
_cell_length_a 4.0296
_cell_length_b 4.5384
_cell_length_c 7.1373
_cell_angle_alpha 74.01
_cell_angle_beta 89.66
_cell_angle_gamma 63.91
_symmetry_space_group_name_H-M 'P 1'
_symmetry_Int_Tables_number 1
_symmetry_space_group_name_Hall 'P 1'
loop_
_atom_site_label
_atom_site_type_symbol
_atom_site_fract_x
_atom_site_fract_y
_atom_site_fract_z
Li1 Li 0.0000 0.0000 0.0000
Tc1 Tc 0.5373 0.9631 0.3630
Sb1 Sb 0.8429 0.3535 0.3275
H1 H 0.4660 0.0850 0.1154
I1 I 0.6391 0.7290 0.7802

---

# LiTcSbHI, optimized geometry, DFT PBE
# * offset from the most stable computed form: 0.095 eV/atom
# * ρ: 6.359 g cm⁻³
# * energy: -43.25 eV for the cell shown
data_LiTcSbHI
_cell_length_a 15.1787
_cell_length_b 3.4825
_cell_length_c 3.6048
_cell_angle_alpha 90.00
_cell_angle_beta 103.60
_cell_angle_gamma 90.00
_symmetry_space_group_name_H-M 'C 1 m 1'
_symmetry_Int_Tables_number 8
_symmetry_space_group_name_Hall 'C -2y'
loop_
_atom_site_label
_atom_site_type_symbol
_atom_site_fract_x
_atom_site_fract_y
_atom_site_fract_z
Li1 Li 0.0000 0.0000 0.0000
Tc1 Tc 0.2054 0.0000 0.2014
Sb1 Sb 0.1110 0.5000 0.6082
H1 H 0.2459 0.5000 0.2412
I1 I 0.3504 0.0000 0.8452

---

# LiTcSbHI, optimized geometry, DFT PBE
# * offset from the most stable computed form: 0.000 eV/atom
# * ρ: 5.906 g cm⁻³
# * energy: -22.10 eV for the cell shown
data_LiTcSbHI
_cell_length_a 3.3457
_cell_length_b 4.2001
_cell_length_c 7.5790
_cell_angle_alpha 106.03
_cell_angle_beta 102.59
_cell_angle_gamma 90.00
_symmetry_space_group_name_H-M 'P 1'
_symmetry_Int_Tables_number 1
_symmetry_space_group_name_Hall 'P 1'
loop_
_atom_site_label
_atom_site_type_symbol
_atom_site_fract_x
_atom_site_fract_y
_atom_site_fract_z
Li1 Li 0.0000 0.0000 0.0000
Tc1 Tc 0.6676 0.1732 0.3408
Sb1 Sb 0.1659 0.6715 0.3372
H1 H 0.5508 0.0583 0.1034
I1 I 0.8695 0.3766 0.7514

---

# LiTcSbHI, optimized geometry, DFT PBE
# * offset from the most stable computed form: 0.075 eV/atom
# * ρ: 5.879 g cm⁻³
# * energy: -43.45 eV for the cell shown
data_LiTcSbHI
_cell_length_a 9.2339
_cell_length_b 3.4105
_cell_length_c 6.4552
_cell_angle_alpha 90.00
_cell_angle_beta 99.79
_cell_angle_gamma 90.00
_symmetry_space_group_name_H-M 'C 1 m 1'
_symmetry_Int_Tables_number 8
_symmetry_space_group_name_Hall 'C -2y'
loop_
_atom_site_label
_atom_site_type_symbol
_atom_site_fract_x
_atom_site_fract_y
_atom_site_fract_z
Li1 Li 0.0000 0.0000 0.0000
Tc1 Tc 0.3675 0.0000 0.6401
Sb1 Sb 0.1538 0.5000 0.6735
H1 H 0.4317 0.5000 0.5970
I1 I 0.3206 0.0000 0.2075

---

# LiTcSbHI, optimized geometry, DFT PBE
# * offset from the most stable computed form: 0.098 eV/atom
# * ρ: 6.410 g cm⁻³
# * energy: -43.23 eV for the cell shown
data_LiTcSbHI
_cell_length_a 6.1285
_cell_length_b 3.5160
_cell_length_c 8.7704
_cell_angle_alpha 90.00
_cell_angle_beta 103.53
_cell_angle_gamma 90.00
_symmetry_space_group_name_H-M 'C 1 m 1'
_symmetry_Int_Tables_number 8
_symmetry_space_group_name_Hall 'C -2y'
loop_
_atom_site_label
_atom_site_type_symbol
_atom_site_fract_x
_atom_site_fract_y
_atom_site_fract_z
Li1 Li 0.0000 0.0000 0.0000
Tc1 Tc 0.1556 0.0000 0.4693
Sb1 Sb 0.2540 0.5000 0.2625
H1 H 0.0002 0.5000 0.4974
I1 I 0.2619 0.0000 0.7896

---

Question: What is the ρ in the first record?
Answer: 3.176 g cm⁻³